Ba5Mg at its PBEsol-relaxed geometry. Source: Alexandria via LeMat-Bulk, functional meta-GGA SCAN.

```
Ba5Mg
1.0
7.3755 -2.1811 0.0000
7.3755 2.1811 0.0000
-3.9127 0.0000 9.6627
Ba Mg
5 1
Direct
0.0000 0.0000 0.0000
0.3348 0.3348 0.2103
0.3622 0.3622 0.6377
0.6378 0.6378 0.3623
0.6652 0.6652 0.7897
0.0000 0.0000 0.5000
```

## Properties
Energy of formation from the pure elements: 0.3 kcal/mol of atoms
Energy above the lowest structure with this stoichiometry: 6.5 meV/atom
E: -33.775 eV per atom
DOS at the Fermi energy: 7.0 states/eV/cell
Space-group type: C2/m (12)
Total magnetization: 0.190 μB/atom